(1)
# TaCrP2S

TaCrP2S after structural relaxation (PBE, Alexandria).

```
TaCrP2S
1.0
4.417 0.000 0.000
0.000 4.417 0.000
0.000 0.000 4.470
P Ta Cr S
2 1 1 1
Cartesian
0.000 2.208 0.000
2.208 0.000 0.000
2.208 2.208 2.235
0.000 0.000 0.000
0.000 0.000 2.235
```

N(E_F): 4.4 states/eV/f.u.
Energy relative to the elements, uncorrected: 0.689 eV per atom
Space-group type: P4/mmm
Relative energy among the computed polymorphs: 0.0000 eV per atom

***

(2)
# PAuSe3

PAuSe3 after structural relaxation (PBE, Alexandria).

```
PAuSe3
1.0
-4.540 1.241 -1.783
-1.724 -4.572 1.207
-1.322 1.699 4.550
Se P Au
3 1 1
Cartesian
-2.270 0.621 -0.891
-0.862 -2.286 0.603
-0.661 0.849 2.275
-3.793 -0.816 1.987
0.000 0.000 0.000
```

N(E_F): 5.9 states/eV/f.u.
Energy relative to the elements, uncorrected: 1.030 eV per atom
Space-group type: Pm-3m
Relative energy among the computed polymorphs: 0.3770 eV per atom

***

(3)
# In4AsCl

In4AsCl after structural relaxation (PBE, Alexandria).

```
In4AsCl
1.0
4.085 -3.446 3.061
-1.919 -4.779 3.377
1.180 -5.753 -1.855
In As Cl
4 1 1
Cartesian
1.845 -8.115 0.794
3.293 -6.964 3.246
1.256 -5.246 1.720
0.299 -7.630 3.404
2.510 -10.483 3.437
0.000 0.000 0.000
```

N(E_F): 3.5 states/eV/f.u.
Energy relative to the elements, uncorrected: 0.120 eV per atom
Space-group type: F-43m

***

(4)
# MgIr2Br

MgIr2Br after structural relaxation (PBE, Alexandria).

```
MgIr2Br
1.0
5.024 0.018 0.000
1.826 4.680 0.000
-3.425 -2.349 2.827
Ir Mg Br
2 1 1
Cartesian
0.000 0.000 0.000
0.913 2.340 1.413
3.425 2.349 0.000
2.512 0.009 1.413
```

N(E_F): 3.9 states/eV/f.u.
Energy relative to the elements, uncorrected: 0.622 eV per atom
Space-group type: I-4m2
Relative energy among the computed polymorphs: 0.5191 eV per atom